Np5PaSe8 after structural relaxation. Source: Alexandria via LeMat-Bulk, functional PBE.

Density: 10.3 g cm⁻³
Calculated volume: 23.5 A^3/atom
Space group: I-4 (82)
Raw formation energy: -1.1930 eV per atom

Cell lengths 7.5376, 7.5376, 7.5376 Å; angles 109.46, 109.49, 109.46 degrees
Closest atoms and distances in Å follow each position.
Element x y z (fractional)
1 Pa 0.2500 0.5000 0.7500  8 Se 2.93-3.08
2 Se 0.1244 0.7498 0.0239  1 Pa 2.93, 5 Np 2.94-3.10
3 Se 0.4729 0.5989 0.2226  5 Np 2.93-3.09, 1 Pa 3.08
4 Se 0.6254 0.8995 0.8756  1 Pa 2.93, 5 Np 2.94-3.10
5 Se 0.9761 0.1005 0.7259  1 Pa 2.93, 5 Np 2.94-3.10
6 Se 0.1260 0.7497 0.5271  5 Np 2.93-3.09, 1 Pa 3.08
7 Se 0.2741 0.2502 0.3746  1 Pa 2.93, 5 Np 2.94-3.10
8 Se 0.6237 0.4011 0.8740  5 Np 2.93-3.09, 1 Pa 3.08
9 Se 0.7774 0.2503 0.3763  5 Np 2.93-3.09, 1 Pa 3.08
10 Np 0.7491 0.6238 0.6230  8 Se 2.93-3.10
11 Np 0.3770 0.1260 0.0008  8 Se 2.93-3.10
12 Np 0.9992 0.3762 0.1253  8 Se 2.93-3.10
13 Np 0.8747 0.8740 0.2509  8 Se 2.93-3.10
14 Np 0.5000 0.0000 0.5000  8 Se 2.94-3.10